Record 1
A geometry-optimized AlAgIr2 structure. Source: Alexandria via LeMat-Bulk, functional PBE.

```
4
Lattice="2.9583 0.0000 0.0000 0.0000 2.9583 0.0000 0.0000 0.0000 6.8769" Properties=species:S:1:pos:R:3 pbc="T T T"
Ir 0.0000 0.0000 6.6326
Ir 0.0000 0.0000 3.6827
Al 1.4792 1.4792 5.1577
Ag 1.4792 1.4792 1.7192
```

Results
Total DFT energy (no corrections), eV/atom: -6.2544
Space-group type: No. 123
Formation energy, eV/atom: -0.18

***

Record 2
A geometry-optimized AlAgIr2 structure. Source: Alexandria via LeMat-Bulk, functional PBE.

```
4
Lattice="4.7563 0.0226 0.0000 1.4114 4.5421 0.0000 -3.0839 -2.2824 2.8113" Properties=species:S:1:pos:R:3 pbc="T T T"
Al 2.3781 0.0113 1.4057
Ir 0.7057 2.2711 1.4057
Ir 0.0000 0.0000 0.0000
Ag 3.0839 2.2824 0.0000
```

Results
Total DFT energy (no corrections), eV/atom: -6.0660
Space-group type: No. 119
Formation energy, eV/atom: 0.01

***

Record 3
A geometry-optimized AlAgIr2 structure. Source: Alexandria via LeMat-Bulk, functional PBE.

```
4
Lattice="4.4312 0.0000 0.0000 2.2156 3.8375 0.0000 2.2156 1.2792 3.6181" Properties=species:S:1:pos:R:3 pbc="T T T"
Al 2.2156 1.2792 0.9045
Ag 4.4312 2.5583 1.8090
Ir 0.0000 0.0000 0.0000
Ir 6.6468 3.8375 2.7135
```

Results
Total DFT energy (no corrections), eV/atom: -5.9886
Space-group type: No. 216
Formation energy, eV/atom: 0.09

***

Record 4
A geometry-optimized AlAgIr2 structure. Source: Alexandria via LeMat-Bulk, functional PBE.

```
4
Lattice="4.6190 -0.0076 0.0000 -1.1078 4.4842 0.0000 0.0000 0.0000 2.8954" Properties=species:S:1:pos:R:3 pbc="T T T"
Ir 0.0000 0.0000 0.0000
Ir 1.7556 2.2383 0.0000
Al -0.5539 2.2421 1.4477
Ag 2.3095 -0.0038 1.4477
```

Results
Total DFT energy (no corrections), eV/atom: -6.1346
Space-group type: No. 65
Formation energy, eV/atom: -0.06

***

Record 5
A geometry-optimized AlAgIr2 structure. Source: Alexandria via LeMat-Bulk, functional PBE.

```
4
Lattice="-0.0980 -3.4354 -2.2291 -0.5883 -1.5043 2.3443 -5.4304 -0.1379 0.4513" Properties=species:S:1:pos:R:3 pbc="T T T"
Ag -1.5537 -2.1282 -0.4157
Ir -5.8411 -1.4791 2.5364
Al -4.5630 -2.9493 0.9821
Ir -3.1869 -0.9842 1.6569
```

Results
Total DFT energy (no corrections), eV/atom: -6.2034
Space-group type: No. 10
Formation energy, eV/atom: -0.12

***

Record 6
A geometry-optimized AlAgIr2 structure. Source: Alexandria via LeMat-Bulk, functional PBE.

```
4
Lattice="-1.1292 -0.3847 -2.5177 -0.2472 -2.0766 1.8408 -7.6633 3.4869 2.9043" Properties=species:S:1:pos:R:3 pbc="T T T"
Ir -7.4497 3.3897 2.8233
Ir -4.0453 1.8406 1.5331
Al -6.4357 1.3845 1.8398
Ag -2.6041 -0.3590 0.3876
```

Results
Total DFT energy (no corrections), eV/atom: -6.2236
Space-group type: No. 65
Formation energy, eV/atom: -0.14

***

Record 7
A geometry-optimized AlAgIr2 structure. Source: Alexandria via LeMat-Bulk, functional PBE.

```
4
Lattice="-2.0101 -3.9993 -2.1414 -2.8260 -4.0371 0.5794 -4.3980 1.1307 -1.3030" Properties=species:S:1:pos:R:3 pbc="T T T"
Ir -4.6002 -3.2373 -1.4244
Ag -2.3085 -1.7264 -0.7162
Ir -4.4148 0.9152 -1.3110
Al -6.9255 -5.1793 -2.1487
```

Results
Total DFT energy (no corrections), eV/atom: -6.2604
Space-group type: No. 12
Formation energy, eV/atom: -0.18

***

Record 8
A geometry-optimized AlAg4Ir structure. Source: Alexandria via LeMat-Bulk, functional PBE.

```
6
Lattice="1.1941 -4.7355 2.1162 -3.0090 -2.0043 3.9062 -3.1303 -4.2007 -0.9405" Properties=species:S:1:pos:R:3 pbc="T T T"
Ag -3.4205 -6.2037 1.4344
Al -3.7089 -8.2054 3.8114
Ag -1.8539 -4.1014 1.9051
Ag -3.3598 -5.1045 3.8601
Ag -1.2562 -6.4714 2.9642
Ir 0.0000 0.0000 0.0000
```

Results
Total DFT energy (no corrections), eV/atom: -3.5217
Space-group type: No. 216
Formation energy, eV/atom: 0.48

***

Record 9
A geometry-optimized AlAgIr2 structure. Source: Alexandria via LeMat-Bulk, functional PBE.

```
4
Lattice="2.7862 -0.0038 0.0000 -1.3690 2.4266 0.0000 0.0000 0.0000 9.1492" Properties=species:S:1:pos:R:3 pbc="T T T"
Ag 0.0000 0.0000 4.6716
Ir 0.0000 0.0000 9.0284
Al 0.7086 1.2114 6.9727
Ir 0.7086 1.2114 2.2002
```

Results
Total DFT energy (no corrections), eV/atom: -5.9749
Space-group type: No. 35
Formation energy, eV/atom: 0.10

***

Record 10
A geometry-optimized AlAgIr3 structure. Source: Alexandria via LeMat-Bulk, functional PBE.

```
5
Lattice="4.4831 0.0000 0.0000 0.0000 4.4831 0.0000 0.0000 0.0000 4.4831" Properties=species:S:1:pos:R:3 pbc="T T T"
Al 0.0000 0.0000 0.0000
Ag 2.2415 2.2415 2.2415
Ir 2.2415 0.0000 0.0000
Ir 0.0000 2.2415 0.0000
Ir 0.0000 0.0000 2.2415
```

Results
Total DFT energy (no corrections), eV/atom: -5.5413
Space-group type: No. 221
Formation energy, eV/atom: 1.09

***

Record 11
A geometry-optimized AlAgIr2 structure. Source: Alexandria via LeMat-Bulk, functional PBE.

```
4
Lattice="-1.0985 0.9465 -2.4771 -3.7005 -2.8454 0.5537 -2.1852 3.2738 2.2199" Properties=species:S:1:pos:R:3 pbc="T T T"
Ag -1.6418 2.1102 -0.1286
Ir -2.3995 -0.9495 -0.9617
Al -2.9428 0.2142 1.3868
Ir 0.0000 0.0000 0.0000
```

Results
Total DFT energy (no corrections), eV/atom: -6.0759
Space-group type: No. 47
Formation energy, eV/atom: 0.00

***

Record 12
A geometry-optimized Al8AgIr2 structure. Source: Alexandria via LeMat-Bulk, functional PBE.

```
11
Lattice="-1.6982 -3.5379 -3.1065 5.0665 -3.4507 2.7117 -0.8122 -3.3140 5.7696" Properties=species:S:1:pos:R:3 pbc="T T T"
Ir 2.1226 -7.5911 4.4201
Ag 0.0000 0.0000 0.0000
Al 0.6343 -5.4399 4.5513
Al 3.0743 -6.0518 6.1809
Al 1.5331 -3.3325 3.0964
Al -0.5182 -4.2510 -0.8062
Al 1.0230 -6.9702 2.2783
Ir 0.4335 -2.7116 0.9546
Al 3.1622 -5.4987 3.2364
Al 1.9219 -4.8628 0.8234
Al -0.6061 -4.8040 2.1383
```

Results
Total DFT energy (no corrections), eV/atom: -4.9010
Space-group type: No. 12
Formation energy, eV/atom: -0.31

***

Record 13
A geometry-optimized AlAgIr2 structure. Source: Alexandria via LeMat-Bulk, functional PBE.

```
4
Lattice="-2.6071 -0.4694 -2.6632 -1.1864 -3.3873 1.7584 -2.6213 2.0616 2.2027" Properties=species:S:1:pos:R:3 pbc="T T T"
Ir -1.9038 -0.6629 1.9806
Al -2.6142 0.7961 -0.2302
Ag -1.8967 -1.9283 -0.4524
Ir 0.0000 0.0000 0.0000
```

Results
Total DFT energy (no corrections), eV/atom: -6.1236
Space-group type: No. 123
Formation energy, eV/atom: -0.04

***

Record 14
A geometry-optimized AlAg2Ir2 structure. Source: Alexandria via LeMat-Bulk, functional PBE.

```
5
Lattice="3.5714 0.0000 0.0000 0.0000 3.5714 0.0000 1.7857 1.7857 7.2257" Properties=species:S:1:pos:R:3 pbc="T T T"
Ir 1.7857 3.5714 3.6129
Ag 3.5714 3.5714 5.8698
Ir 3.5714 1.7857 3.6129
Ag 1.7857 1.7857 1.3559
Al 0.0000 0.0000 0.0000
```

Results
Total DFT energy (no corrections), eV/atom: -4.8592
Space-group type: No. 139
Formation energy, eV/atom: 0.57

***

Record 15
A geometry-optimized AlAgIr2 structure. Source: Alexandria via LeMat-Bulk, functional PBE.

```
4
Lattice="-0.6061 1.6706 -2.1705 -2.7224 -0.6117 0.2894 -0.8295 5.9775 4.8323" Properties=species:S:1:pos:R:3 pbc="T T T"
Al -2.3038 5.1379 2.7850
Ir -1.8570 1.9185 0.1823
Ag -0.4216 3.0382 2.4561
Ir -0.8199 5.9082 4.7763
```

Results
Total DFT energy (no corrections), eV/atom: -6.1502
Space-group type: No. 99
Formation energy, eV/atom: -0.07

***

Record 16
A geometry-optimized Al3AgIr structure. Source: Alexandria via LeMat-Bulk, functional PBE.

```
5
Lattice="4.7387 0.0000 0.0000 0.0000 4.7387 0.0000 0.0000 0.0000 4.7387" Properties=species:S:1:pos:R:3 pbc="T T T"
Ir 0.0000 0.0000 0.0000
Ag 2.3693 2.3693 2.3693
Al 0.0000 2.3693 0.0000
Al 2.3693 0.0000 0.0000
Al 0.0000 0.0000 2.3693
```

Results
Total DFT energy (no corrections), eV/atom: -4.6974
Space-group type: No. 221
Formation energy, eV/atom: -0.11

***

Record 17
A geometry-optimized AlAgIr2 structure. Source: Alexandria via LeMat-Bulk, functional PBE.

```
4
Lattice="-0.7004 3.4174 -1.5662 -2.7087 -0.2842 0.5913 -1.8565 2.2140 5.6608" Properties=species:S:1:pos:R:3 pbc="T T T"
Ag -2.2813 0.9702 3.1370
Ir -1.5065 2.1491 0.6948
Al -3.7549 3.2092 4.0134
Ir -1.8621 2.1975 5.6275
```

Results
Total DFT energy (no corrections), eV/atom: -6.1275
Space-group type: No. 6
Formation energy, eV/atom: -0.05

***

Record 18
A geometry-optimized AlAgIr3 structure. Source: Alexandria via LeMat-Bulk, functional PBE.

```
5
Lattice="4.7657 0.0000 0.0000 0.0000 4.7657 0.0000 0.0000 0.0000 4.7657" Properties=species:S:1:pos:R:3 pbc="T T T"
Ir 2.3828 0.0000 0.0000
Al 2.3828 2.3828 2.3828
Ir 0.0000 2.3828 0.0000
Ag 0.0000 0.0000 0.0000
Ir 0.0000 0.0000 2.3828
```

Results
Total DFT energy (no corrections), eV/atom: -4.4176
Space-group type: No. 221
Formation energy, eV/atom: 2.22

***

Record 19
A geometry-optimized AlAgIr2 structure. Source: Alexandria via LeMat-Bulk, functional PBE.

```
4
Lattice="-4.4541 0.1130 2.7869 -4.5682 -2.2572 1.2864 0.0172 -2.5433 4.0159" Properties=species:S:1:pos:R:3 pbc="T T T"
Ir -2.3465 -0.9829 1.7310
Al -6.6480 -3.3168 5.7448
Ag -4.4721 -2.5288 4.3345
Ir -0.0410 -0.2028 0.3235
```

Results
Total DFT energy (no corrections), eV/atom: -6.1936
Space-group type: No. 8
Formation energy, eV/atom: -0.11

***

Record 20
A geometry-optimized Al5AgIr4 structure. Source: Alexandria via LeMat-Bulk, functional PBE.

```
10
Lattice="-0.0484 1.5877 -2.4881 -2.7036 -1.0222 -0.5996 -6.6078 12.6617 8.2079" Properties=species:S:1:pos:R:3 pbc="T T T"
Al -7.2089 11.4595 5.7015
Ir -3.9373 7.5445 4.8907
Ir -1.3882 2.6601 1.7244
Al -5.9442 9.0361 4.1305
Al -2.1509 1.7676 -0.5813
Al -3.4157 4.1910 0.9897
Ag 0.0000 0.0000 0.0000
Ir -2.6705 5.1172 3.3172
Ir -5.2196 10.0016 6.4835
Al -4.6799 6.6136 2.5601
```

Results
Total DFT energy (no corrections), eV/atom: -6.4556
Space-group type: No. 123
Formation energy, eV/atom: -0.75